The following is a GGA-PBE calculation of a geometry-optimized Li6PrAl2 structure, from Alexandria.

Computed properties:
crystal system	tetragonal
ΔE_f	-0.086	eV per atom
DOS(E_F)	5.6	states/eV/f.u.
spin magnetization	0.0	μB/cell

a b c (Å): 4.359 4.359 9.995
angles (deg): 90.00 90.00 90.00
Fractional positions:
1 Li 0.000 0.500 0.295
2 Li 0.500 0.000 0.295
3 Li 0.000 0.500 0.705
4 Li 0.500 0.000 0.705
5 Li 0.500 0.500 0.500
6 Li 0.000 0.000 0.500
7 Pr 0.000 0.000 0.000
8 Al 0.500 0.500 0.128
9 Al 0.500 0.500 0.872